[1]
The following is a GGA-PBE calculation of a geometry-optimized Ho3Zn2Pt3 structure, from the Alexandria database.

Values from the calculation:
E_tot	-0.193	Ha/atom
density of states at the Fermi level	7.1	states/eV/cell
M_tot	0.000	μB/f.u.
mass density	12.2	g/cm³
space group	No. 193

```
Ho3Zn2Pt3
1.0
-2.5669 -4.9430 -0.2661
5.5326 -3.1575 5.2836
-6.9530 3.4566 2.8643
Pt Ho Zn
6 6 4
Direct
0.7500 0.3850 0.3850
0.2500 0.0000 0.3850
0.7500 0.0000 0.6150
0.2500 0.3850 0.0000
0.7500 0.6150 0.0000
0.2500 0.6150 0.6150
0.2500 0.7229 0.0000
0.7500 0.7229 0.7229
0.7500 0.0000 0.2771
0.2500 0.2771 0.2771
0.2500 0.0000 0.7229
0.7500 0.2771 0.0000
0.5000 0.3333 0.6667
0.0000 0.6667 0.3333
0.5000 0.6667 0.3333
0.0000 0.3333 0.6667
```

[2]
The following is a GGA-PBE calculation of a geometry-optimized HoZn8Pt4 structure, from the Alexandria database.

Values from the calculation:
E_tot	-0.129	Ha/atom
density of states at the Fermi level	6.1	states/eV/cell
M_tot	0.000	μB/f.u.
mass density	11.5	g/cm³
space group	No. 139

```
HoZn8Pt4
1.0
-0.7250 5.4402 -0.3262
-1.4254 2.9444 5.9402
5.6900 3.5879 0.8590
Pt Zn Ho
4 8 1
Direct
0.5000 0.0000 0.5000
0.0000 0.0000 0.5000
0.0000 0.5000 0.0000
0.5000 0.5000 0.0000
0.5000 0.2157 0.7843
0.5000 0.7843 0.2157
0.0000 0.6540 0.3460
0.2843 0.2157 0.2157
0.3460 0.6540 0.6540
0.7157 0.7843 0.7843
0.6540 0.3460 0.3460
0.0000 0.3460 0.6540
0.0000 0.0000 0.0000
```